No. 1
The following is a PBE-GGA calculation of an optimized crystal structure of NbTlO3, from the Alexandria database.

Results
V: 20.58 Å³/atom
E_form (uncorrected): -2037.6 meV/atom

Lattice parameters (Å, degrees): 8.5622 8.5622 8.5622 37.21 37.21 37.21
With the nearest neighbours (Å) after each atom.
Fractional positions:
Nb  0.0000  0.0000  0.0000  6 O 1.93-2.15
Nb  0.3553  0.3553  0.3553  3 O 1.92
Tl  0.1425  0.1425  0.1425  3 O 2.54
Tl  0.5714  0.5714  0.5714  3 O 2.56
O  0.0280  0.6223  0.2381  1 Nb 1.93
O  0.1347  0.3089  0.7360  1 Nb 1.92
O  0.2381  0.0280  0.6223  1 Nb 1.93
O  0.3089  0.7360  0.1347  1 Nb 1.92
O  0.6223  0.2381  0.0280  1 Nb 1.93
O  0.7360  0.1347  0.3089  1 Nb 1.92


No. 2
The following is a PBE-GGA calculation of an optimized crystal structure of NbTlO3, from the Alexandria database.

Results
V: 22.00 Å³/atom
E_form (uncorrected): -1947.0 meV/atom

Lattice parameters (Å, degrees): 6.6046 12.1399 5.4889 90.00 90.00 90.00
With the nearest neighbours (Å) after each atom.
Fractional positions:
Nb  0.1534  0.2500  0.0571  4 O 1.81-1.97
Nb  0.3466  0.7500  0.5571  4 O 1.81-1.97
Nb  0.6534  0.2500  0.4429  4 O 1.81-1.97
Nb  0.8466  0.7500  0.9429  4 O 1.81-1.97
Tl  0.0000  0.0000  0.5000  4 O 2.76-2.82
Tl  0.0000  0.5000  0.5000  4 O 2.76-2.82
Tl  0.5000  0.0000  0.0000  4 O 2.76-2.82
Tl  0.5000  0.5000  0.0000  4 O 2.76-2.82
O  0.0951  0.7500  0.7441  2 Nb 1.95-1.97
O  0.1604  0.1275  0.8684  1 Nb 1.81
O  0.1604  0.3725  0.8684  1 Nb 1.81
O  0.3396  0.6275  0.3684  1 Nb 1.81
O  0.3396  0.8725  0.3684  1 Nb 1.81
O  0.4049  0.2500  0.2441  2 Nb 1.95-1.97
O  0.5951  0.7500  0.7559  2 Nb 1.95-1.97
O  0.6604  0.1275  0.6316  1 Nb 1.81
O  0.6604  0.3725  0.6316  1 Nb 1.81
O  0.8396  0.6275  0.1316  1 Nb 1.81
O  0.8396  0.8725  0.1316  1 Nb 1.81
O  0.9049  0.2500  0.2559  2 Nb 1.95-1.97